No. 1
Here is crystalline LiTe2N2 at its relaxed geometry from Alexandria. Energies are from PBE-GGA.

Calculated values
As for the magnetic moment: 0.004 μB/f.u. The value obtained for the density is 6.07 Mg/m³. As for the symmetry: No. 123. Its crystal system is tetragonal. For the raw total energy, the calculation gives -16.5 eV/f.u. For the uncorrected formation energy, the calculation gives 1666 meV per atom.

The structure in CIF format:
```
data_LiTe2N2
_symmetry_space_group_name_H-M 'P 1'
_symmetry_Int_Tables_number 1
_symmetry_space_group_name_Hall 'P 1'
_cell_length_a 4.841
_cell_length_b 4.841
_cell_length_c 3.390
_cell_angle_alpha 90.00
_cell_angle_beta 90.00
_cell_angle_gamma 90.00
loop_
_atom_site_label
_atom_site_fract_x
_atom_site_fract_y
_atom_site_fract_z
Li1 0.000 0.000 0.000
Te1 0.000 0.500 0.000
Te2 0.500 0.000 0.000
N1 0.000 0.000 0.500
N2 0.500 0.500 0.500
```

=====

No. 2
Here is crystalline Li3TeN at its relaxed geometry from Alexandria. Energies are from PBE-GGA.

Calculated values
As for the magnetic moment: 2.000 μB/f.u. The value obtained for the density is 1.99 Mg/m³. As for the symmetry: No. 221. Its crystal system is cubic. For the raw total energy, the calculation gives -15.3 eV/f.u. For the uncorrected formation energy, the calculation gives 382 meV per atom.

The structure in CIF format:
```
data_Li3TeN
_symmetry_space_group_name_H-M 'P 1'
_symmetry_Int_Tables_number 1
_symmetry_space_group_name_Hall 'P 1'
_cell_length_a 5.140
_cell_length_b 5.140
_cell_length_c 5.140
_cell_angle_alpha 90.00
_cell_angle_beta 90.00
_cell_angle_gamma 90.00
loop_
_atom_site_label
_atom_site_fract_x
_atom_site_fract_y
_atom_site_fract_z
Li1 0.000 0.000 0.500
Li2 0.000 0.500 0.000
Li3 0.500 0.000 0.000
Te1 0.000 0.000 0.000
N1 0.500 0.500 0.500
```

=====

No. 3
Here is crystalline LiTe3N at its relaxed geometry from Alexandria. Energies are from PBE-GGA.

Calculated values
As for the magnetic moment: 2.638 μB/f.u. The value obtained for the density is 5.15 Mg/m³. As for the symmetry: No. 221. Its crystal system is cubic. For the raw total energy, the calculation gives -13.8 eV/f.u. For the uncorrected formation energy, the calculation gives 1182 meV per atom.

The structure in CIF format:
```
data_LiTe3N
_symmetry_space_group_name_H-M 'P 1'
_symmetry_Int_Tables_number 1
_symmetry_space_group_name_Hall 'P 1'
_cell_length_a 5.069
_cell_length_b 5.069
_cell_length_c 5.069
_cell_angle_alpha 90.00
_cell_angle_beta 90.00
_cell_angle_gamma 90.00
loop_
_atom_site_label
_atom_site_fract_x
_atom_site_fract_y
_atom_site_fract_z
Li1 0.000 0.000 0.000
Te1 0.000 0.000 0.500
Te2 0.000 0.500 0.000
Te3 0.500 0.000 0.000
N1 0.500 0.500 0.500
```

=====

No. 4
Here is crystalline LiTe2N at its relaxed geometry from Alexandria. Energies are from PBE-GGA.

Calculated values
As for the magnetic moment: 0.000 μB/f.u. The value obtained for the density is 5.21 Mg/m³. As for the symmetry: No. 166. Its crystal system is trigonal. For the raw total energy, the calculation gives -13.6 eV/f.u. For the uncorrected formation energy, the calculation gives 743 meV per atom.

The structure in CIF format:
```
data_LiTe2N
_symmetry_space_group_name_H-M 'P 1'
_symmetry_Int_Tables_number 1
_symmetry_space_group_name_Hall 'P 1'
_cell_length_a 8.733
_cell_length_b 8.733
_cell_length_c 8.733
_cell_angle_alpha 22.82
_cell_angle_beta 22.82
_cell_angle_gamma 22.82
loop_
_atom_site_label
_atom_site_fract_x
_atom_site_fract_y
_atom_site_fract_z
Li1 0.000 0.000 0.000
Te1 0.106 0.106 0.106
Te2 0.894 0.894 0.894
N1 0.500 0.500 0.500
```

=====

No. 5
Here is crystalline LiTe2N at its relaxed geometry from Alexandria. Energies are from PBE-GGA.

Calculated values
As for the magnetic moment: 0.000 μB/f.u. The value obtained for the density is 4.77 Mg/m³. As for the symmetry: No. 122. Its crystal system is tetragonal. For the raw total energy, the calculation gives -15.0 eV/f.u. For the uncorrected formation energy, the calculation gives 378 meV per atom.

The structure in CIF format:
```
data_LiTe2N
_symmetry_space_group_name_H-M 'P 1'
_symmetry_Int_Tables_number 1
_symmetry_space_group_name_Hall 'P 1'
_cell_length_a 6.721
_cell_length_b 6.721
_cell_length_c 6.721
_cell_angle_alpha 125.96
_cell_angle_beta 125.96
_cell_angle_gamma 79.96
loop_
_atom_site_label
_atom_site_fract_x
_atom_site_fract_y
_atom_site_fract_z
Li1 0.000 0.000 0.000
Li2 0.750 0.250 0.500
Te1 0.188 0.625 0.063
Te2 0.375 0.438 0.563
Te3 0.562 0.125 0.937
Te4 0.875 0.812 0.437
N1 0.250 0.750 0.500
N2 0.500 0.500 0.000
```

=====

No. 6
Here is crystalline LiTe3N at its relaxed geometry from Alexandria. Energies are from PBE-GGA.

Calculated values
As for the magnetic moment: 0.000 μB/f.u. The value obtained for the density is 6.07 Mg/m³. As for the symmetry: No. 221. Its crystal system is cubic. For the raw total energy, the calculation gives -17.7 eV/f.u. For the uncorrected formation energy, the calculation gives 394 meV per atom.

The structure in CIF format:
```
data_LiTe3N
_symmetry_space_group_name_H-M 'P 1'
_symmetry_Int_Tables_number 1
_symmetry_space_group_name_Hall 'P 1'
_cell_length_a 4.798
_cell_length_b 4.798
_cell_length_c 4.798
_cell_angle_alpha 90.00
_cell_angle_beta 90.00
_cell_angle_gamma 90.00
loop_
_atom_site_label
_atom_site_fract_x
_atom_site_fract_y
_atom_site_fract_z
Li1 0.000 0.000 0.000
Te1 0.000 0.500 0.500
Te2 0.500 0.000 0.500
Te3 0.500 0.500 0.000
N1 0.500 0.500 0.500
```